This record from the Alexandria database describes La4DyCd after structural relaxation. The functional is GGA-PBE.

Properties
energy above the lowest structure with this stoichiometry	34.2	meV/atom
calculated formation energy	-0.06	eV per atom
total energy	-25.61	eV/f.u.
total magnetization	0.00	Bohr magnetons per cell

Unit cell a=10.7663 b=6.2901 c=12.2415 alpha=90.00 beta=108.14 gamma=90.00
Last column: nearest neighbours and their distance in Å.
Space group C2/c (No. 15)
Unique sites:
La 0.0781 0.2299 0.4925 x8  6 La 3.38-3.67, 2 Cd 3.47-3.61, 3 Dy 3.53-3.75
La 0.1712 0.4302 0.2488 x8  3 Cd 3.54-3.76, 7 La 3.55-3.70, 2 Dy 3.55-3.59
Dy 0.2500 0.2500 0.0000 x4  10 La 3.53-3.75, 2 Cd 3.53
Cd 0.0000 0.0904 0.7500 x4  10 La 3.47-3.76, 2 Dy 3.53